Record 1
## TlMo2 (SCAN)

Data for a PBEsol-optimized structure of TlMo2.

calculated volume = 52 Å³ per cell
E = -46.7580 eV per atom
energy of formation = 0.6183 eV per atom

Lattice parameters (Å, degrees): 4.5846 4.5846 2.8360 90.00 90.00 120.00
Space group P-3m1 (No. 164)
Asymmetric unit:
Tl  0.0000  0.0000  0.0000 [1 per cell]
Mo  0.3333  0.6667  0.6136 [2 per cell]

Record 2
## Tl2Mo (SCAN)

Data for a PBEsol-optimized structure of Tl2Mo.

offset from the most stable computed form = 0.576 eV/atom
calculated volume = 62 Å³ per cell
E = -58.8034 eV per atom
energy of formation = 1.0639 eV per atom

Lattice parameters (Å, degrees): 5.0229 5.0229 2.8438 90.00 90.00 120.00
Space group P6/mmm (No. 191)
Asymmetric unit:
Tl  0.3333  0.6667  0.0000 [2 per cell]
Mo  0.0000  0.0000  0.5000 [1 per cell]

Record 3
## Tl2Mo (SCAN)

Data for a PBEsol-optimized structure of Tl2Mo.

offset from the most stable computed form = 0.000 eV/atom
calculated volume = 71 Å³ per cell
E = -59.3795 eV per atom
energy of formation = 0.4878 eV per atom

Lattice parameters (Å, degrees): 4.9105 4.9105 2.9310 90.00 90.00 90.00
Space group P4/mmm (No. 123)
Asymmetric unit:
Tl  0.0000  0.5000  0.0000 [2 per cell]
Mo  0.0000  0.0000  0.5000 [1 per cell]

Record 4
## TlMo (SCAN)

Data for a PBEsol-optimized structure of TlMo.

calculated volume = 75 Å³ per cell
E = -52.7537 eV per atom
energy of formation = 0.8680 eV per atom

Lattice parameters (Å, degrees): 4.6030 3.1876 5.0785 90.00 90.00 90.00
Space group Pmma (No. 51)
Asymmetric unit:
Tl  0.2500  0.0000  0.1748 [2 per cell]
Mo  0.2500  0.5000  0.6368 [2 per cell]

Record 5
## TlMo3 (SCAN)

Data for a PBEsol-optimized structure of TlMo3.

offset from the most stable computed form = 0.175 eV/atom
calculated volume = 266 Å³ per cell
E = -43.6245 eV per atom
energy of formation = 0.6290 eV per atom

Lattice parameters (Å, degrees): 6.4343 6.4343 6.4343 90.00 90.00 90.00
Space group Fm-3m (No. 225)
Asymmetric unit:
Tl  0.0000  0.0000  0.0000 [4 per cell]
Mo  0.0000  0.0000  0.5000 [4 per cell]
Mo  0.2500  0.2500  0.2500 [8 per cell]

Record 6
## TlMo3 (SCAN)

Data for a PBEsol-optimized structure of TlMo3.

offset from the most stable computed form = 0.000 eV/atom
calculated volume = 68 Å³ per cell
E = -43.7993 eV per atom
energy of formation = 0.4542 eV per atom

Lattice parameters (Å, degrees): 3.3324 3.3324 6.0863 90.00 90.00 90.00
Space group P4/mmm (No. 123)
Asymmetric unit:
Tl  0.0000  0.0000  0.0000 [1 per cell]
Mo  0.0000  0.0000  0.5000 [1 per cell]
Mo  0.5000  0.5000  0.2844 [2 per cell]